A relaxed Al2AsPbS6 crystal, computed with PBE.

The structure in extended XYZ format:
```
20
Lattice="7.216 -0.161 -0.167 2.116 7.894 0.522 2.116 0.229 7.908" Properties=species:S:1:pos:R:3 pbc="T T T"
S 9.425 3.148 7.481
S 6.578 4.553 5.762
Al 6.331 1.758 2.960
Pb 7.528 1.323 6.612
S 6.559 0.081 1.338
Al 8.725 4.989 6.313
S 2.970 5.670 4.848
S 2.023 4.815 0.782
As 7.528 5.968 2.136
Al 2.723 2.973 1.950
S 5.817 7.440 3.507
Al 5.117 6.205 5.303
S 8.497 6.548 8.049
S 2.951 1.415 0.214
Pb 3.920 6.639 1.651
S 4.870 3.409 2.501
S 5.631 0.523 4.757
S 4.889 7.882 6.925
As 3.920 1.994 6.127
S 8.478 2.293 3.416
```

The calculation puts the raw formation energy at -0.54 eV per atom. The space group is No. 15. For the density of states at the Fermi level, the calculation gives 2.69 states/eV/cell.